*A*
The following is a DFT calculation (PBE-GGA) of an optimized crystal structure of ScCrBr.

Unit cell a=6.714 b=6.714 c=6.714 alpha=90.00 beta=90.00 gamma=90.00
Space group F-43m (No. 216)
Unique sites:
Sc 0.000 0.000 0.000 (multiplicity 4)
Cr 0.250 0.250 0.750 (multiplicity 4)
Br 0.250 0.250 0.250 (multiplicity 4)

Summary:
The calculation puts the calculated volume at 302.7 Å³/cell.

=====

*B*
The following is a DFT calculation (PBE-GGA) of an optimized crystal structure of ScCrBr.

Unit cell a=6.382 b=6.382 c=6.382 alpha=90.00 beta=90.00 gamma=90.00
Space group F-43m (No. 216)
Unique sites:
Sc 0.000 0.000 0.000 (multiplicity 4)
Cr 0.000 0.000 0.500 (multiplicity 4)
Br 0.250 0.250 0.750 (multiplicity 4)

Summary:
The calculation puts the calculated volume at 259.9 Å³/cell.

=====

*C*
The following is a DFT calculation (PBE-GGA) of an optimized crystal structure of ScCrBr.

Unit cell a=4.6721 b=4.6721 c=3.3939 alpha=90.00 beta=90.00 gamma=120.00
Space group P3m1 (No. 156)
Unique sites:
Sc 0.0000 0.0000 0.0000 (multiplicity 1)
Cr 0.6667 0.3333 0.4722 (multiplicity 1)
Br 0.3333 0.6667 0.2022 (multiplicity 1)

Summary:
The calculation puts the calculated volume at 64.2 Å³/cell.

=====

*D*
The following is a DFT calculation (PBE-GGA) of an optimized crystal structure of ScCrBr.

Unit cell a=3.345 b=3.345 c=12.557 alpha=90.00 beta=90.00 gamma=90.00
Space group I4mm (No. 107)
Unique sites:
Sc 0.000 0.000 0.000 (multiplicity 2)
Cr 0.000 0.000 0.360 (multiplicity 2)
Br 0.000 0.000 0.634 (multiplicity 2)

Summary:
The calculation puts the calculated volume at 140.5 Å³/cell.

=====

What is the stability order? It is *D*, *C*, *B*, *A*, from most stable to least stable.